DFT (PBE) results for a relaxed NpCuPbAu crystal.

Calculated total energy   -5.92 eV/atom
Energy of formation from the pure elements   0.090 eV/atom
DOS at the Fermi energy   2.192 states/eV per atom
ρ   13.37 g/cm³

Cell and atoms, written as POSCAR:
```
NpCuPbAu
1.0
0.0000 3.5239 3.5239
3.5239 0.0000 3.5239
3.5239 3.5239 0.0000
Np Cu Pb Au
1 1 1 1
direct
0.0000 0.0000 0.0000 Np
0.7500 0.7500 0.7500 Cu
0.5000 0.5000 0.5000 Pb
0.2500 0.2500 0.2500 Au
```